# SmZrIrO6 (PBE, optimized geometry)
# Calculated density ... 7.0 g/cm³
data_SmZrIrO6
_chemical_formula_sum 'Sm2 Zr2 Ir2 O12'
_cell_length_a 5.3560
_cell_length_b 5.3560
_cell_length_c 10.1016
_cell_angle_alpha 90.00
_cell_angle_beta 90.00
_cell_angle_gamma 120.00
_symmetry_space_group_name_H-M 'P -3 1 c'
_symmetry_Int_Tables_number 163
_symmetry_space_group_name_Hall '-P 3 2c'
loop_
_atom_site_label
_atom_site_fract_x
_atom_site_fract_y
_atom_site_fract_z
_atom_site_occupancy
Sm1 0.0000 0.0000 0.0000 1
Zr1 0.3333 0.6667 0.2500 1
Ir1 0.3333 0.6667 0.7500 1
O1 0.0184 0.3640 0.6395 1


# SnIrO3 (PBE, optimized geometry)
# Calculated density ... 9.3 g/cm³
data_SnIrO3
_chemical_formula_sum 'Sn1 Ir1 O3'
_cell_length_a 4.007
_cell_length_b 4.007
_cell_length_c 4.007
_cell_angle_alpha 90.00
_cell_angle_beta 90.00
_cell_angle_gamma 90.00
_symmetry_space_group_name_H-M 'P m -3 m'
_symmetry_Int_Tables_number 221
_symmetry_space_group_name_Hall '-P 4 2 3'
loop_
_atom_site_label
_atom_site_fract_x
_atom_site_fract_y
_atom_site_fract_z
_atom_site_occupancy
Sn1 0.000 0.000 0.000 1
Ir1 0.500 0.500 0.500 1
O1 0.000 0.000 0.500 1


# SnIrO3 (PBE, optimized geometry)
# Calculated density ... 9.5 g/cm³
data_SnIrO3
_chemical_formula_sum 'Sn1 Ir1 O3'
_cell_length_a 3.971
_cell_length_b 3.971
_cell_length_c 3.971
_cell_angle_alpha 90.00
_cell_angle_beta 90.00
_cell_angle_gamma 90.00
_symmetry_space_group_name_H-M 'P m -3 m'
_symmetry_Int_Tables_number 221
_symmetry_space_group_name_Hall '-P 4 2 3'
loop_
_atom_site_label
_atom_site_fract_x
_atom_site_fract_y
_atom_site_fract_z
_atom_site_occupancy
Sn1 0.000 0.000 0.000 1
Ir1 0.500 0.500 0.500 1
O1 0.000 0.500 0.500 1


# SnIrO2 (PBE, optimized geometry)
# Calculated density ... 10.2 g/cm³
data_SnIrO2
_chemical_formula_sum 'Sn3 Ir3 O6'
_cell_length_a 3.1446
_cell_length_b 3.1446
_cell_length_c 19.5696
_cell_angle_alpha 90.00
_cell_angle_beta 90.00
_cell_angle_gamma 120.00
_symmetry_space_group_name_H-M 'R -3 m'
_symmetry_Int_Tables_number 166
_symmetry_space_group_name_Hall '-R 3 2"'
loop_
_atom_site_label
_atom_site_fract_x
_atom_site_fract_y
_atom_site_fract_z
_atom_site_occupancy
Sn1 0.0000 0.0000 0.0000 1
Ir1 0.0000 0.0000 0.5000 1
O1 0.0000 0.0000 0.3950 1


# Sn3IrO (PBE, optimized geometry)
# Calculated density ... 9.5 g/cm³
# Distance to the lowest polymorph of the same formula ... 0 meV per atom
data_Sn3IrO
_chemical_formula_sum 'Sn3 Ir1 O1'
_cell_length_a 4.622
_cell_length_b 4.622
_cell_length_c 4.622
_cell_angle_alpha 90.00
_cell_angle_beta 90.00
_cell_angle_gamma 90.00
_symmetry_space_group_name_H-M 'P m -3 m'
_symmetry_Int_Tables_number 221
_symmetry_space_group_name_Hall '-P 4 2 3'
loop_
_atom_site_label
_atom_site_fract_x
_atom_site_fract_y
_atom_site_fract_z
_atom_site_occupancy
Sn1 0.000 0.000 0.500 1
Ir1 0.500 0.500 0.500 1
O1 0.000 0.000 0.000 1


# Sn3IrO (PBE, optimized geometry)
# Calculated density ... 7.1 g/cm³
# Distance to the lowest polymorph of the same formula ... 206 meV per atom
data_Sn3IrO
_chemical_formula_sum 'Sn3 Ir1 O1'
_cell_length_a 5.095
_cell_length_b 5.095
_cell_length_c 5.095
_cell_angle_alpha 90.00
_cell_angle_beta 90.00
_cell_angle_gamma 90.00
_symmetry_space_group_name_H-M 'P m -3 m'
_symmetry_Int_Tables_number 221
_symmetry_space_group_name_Hall '-P 4 2 3'
loop_
_atom_site_label
_atom_site_fract_x
_atom_site_fract_y
_atom_site_fract_z
_atom_site_occupancy
Sn1 0.000 0.000 0.500 1
Ir1 0.000 0.000 0.000 1
O1 0.500 0.500 0.500 1


The calculation returns the following energy relative to the elements, uncorrected values, one per record and in order: -2.28; 0.08; -0.54; -0.40; 0.07; 0.28 eV per atom.
The calculation returns the following total DFT energy (no corrections) values, one per record and in order: -8.042; -5.471; -6.087; -6.091; -5.094; -4.888 eV/atom.